Record 1
VASP calculation (PBEsol) on crystalline Tb2B4C at its relaxed geometry.

abc: 3.2561 5.2473 5.2473
angles: 77.11 71.93 71.93
Atoms (fractional coordinates):
B (0.0000, 0.7724, 0.2276)
B (0.5000, 0.6354, 0.3646)
Tb (0.2653, 0.2347, 0.2347)
B (0.5000, 0.3646, 0.6354)
B (0.0000, 0.2276, 0.7724)
Tb (0.7347, 0.7653, 0.7653)
C (0.0000, 0.0000, 0.0000)

Properties
The calculated volume is 11.46 A^3/atom. The calculation puts the energy at -7.43 eV per atom. For the formation energy from the elements, the calculation gives -613.5 meV/atom.

***

Record 2
VASP calculation (PBEsol) on crystalline MnAu2SeF at its relaxed geometry.

abc: 4.8313 4.8313 4.7202
angles: 90.00 90.00 90.00
Last column: magnetic moment on the atom in μB.
Atoms (fractional coordinates):
Se (0.0000, 0.0000, 0.0000)  -0.04
Mn (0.0000, 0.0000, 0.5000)  4.00
Au (0.5000, 0.0000, 0.0000)  -0.02
F (0.5000, 0.5000, 0.5000)  0.04
Au (0.0000, 0.5000, 0.0000)  -0.02

Properties
The calculated volume is 22.04 A^3/atom. The calculation puts the energy at -4.36 eV per atom. Its formation energy from raw total energies is 0.3172 eV/atom.

***

Record 3
VASP calculation (PBEsol) on crystalline ZrAg2Se at its relaxed geometry.

abc: 3.6961 4.7903 4.7903
angles: 113.13 90.00 90.00
Atoms (fractional coordinates):
Zr (0.5000, 0.5000, 0.5000)
Ag (0.0000, 0.5000, 0.0000)
Se (0.5000, 0.0000, 0.0000)
Ag (0.0000, 0.0000, 0.5000)

Properties
The calculated volume is 19.50 A^3/atom. The calculation puts the energy at -5.01 eV per atom. Its formation energy from raw total energies is -0.1220 eV/atom.